# Ca3ErNi8 (PBE-GGA, optimized geometry)
# ρ in g/cm3: 6.81
# Energy relative to the elements in eV/atom: -0.26
# Magnetization in μB per cell: 0.0
data_Ca3ErNi8
_chemical_formula_sum 'Ca3 Er1 Ni8'
_space_group_name_H-M_alt 'P 1'
_space_group_IT_number 1
_cell_length_a 8.777
_cell_length_b 8.777
_cell_length_c 8.777
_cell_angle_alpha 33.63
_cell_angle_beta 33.63
_cell_angle_gamma 33.63
loop_
_space_group_symop_operation_xyz
'x,y,z'
loop_
_atom_site_label
_atom_site_fract_x
_atom_site_fract_y
_atom_site_fract_z
Ca1 0.000 0.000 0.000
Ca2 0.124 0.124 0.124
Ca3 0.628 0.628 0.628
Er1 0.502 0.502 0.502
Ni1 0.063 0.063 0.558
Ni2 0.063 0.558 0.063
Ni3 0.069 0.563 0.563
Ni4 0.313 0.313 0.313
Ni5 0.558 0.063 0.063
Ni6 0.563 0.069 0.563
Ni7 0.563 0.563 0.069
Ni8 0.814 0.814 0.814